The following is a DFT calculation (meta-GGA SCAN) of a crystal of Li6Co3NiP6O24 relaxed with PBEsol.

Computed properties:
**Space-group type**: No. 1
**Volume**: 423 Å³/f.u.
**Raw total energy**: -9.57 eV/atom
**Crystal system**: triclinic
**E_form (uncorrected)**: -2.2086 eV/atom

Cell lengths 8.648, 8.718, 8.745 Å; angles 55.80, 55.83, 56.30 degrees
Sites, in units of the cell vectors:
O (0.239, 0.390, 0.608)
O (0.943, 0.359, 0.287)
O (0.383, 0.759, 0.619)
O (0.977, 0.998, 0.313)
O (0.298, 0.124, 0.513)
O (0.040, 0.677, 0.701)
O (0.389, 0.628, 0.229)
O (0.284, 0.985, 0.329)
O (0.753, 0.661, 0.371)
O (0.877, 0.524, 0.672)
O (0.130, 0.511, 0.278)
O (0.336, 0.979, 0.979)
O (0.532, 0.269, 0.122)
O (0.627, 0.398, 0.743)
O (0.483, 0.693, 0.876)
O (0.989, 0.691, 0.018)
O (0.672, 0.902, 0.493)
O (0.625, 0.253, 0.367)
O (0.327, 0.308, 0.967)
O (0.723, 0.035, 0.654)
O (0.992, 0.339, 0.961)
O (0.685, 0.714, 0.990)
O (0.025, 0.004, 0.672)
O (0.677, 0.036, 0.974)
Co (0.638, 0.656, 0.636)
Co (0.851, 0.858, 0.836)
Co (0.359, 0.372, 0.338)
Li (0.662, 0.951, 0.242)
Li (0.818, 0.243, 0.576)
Li (0.758, 0.437, 0.166)
Li (0.234, 0.588, 0.823)
Li (0.330, 0.109, 0.724)
Li (0.195, 0.772, 0.403)
P (0.472, 0.762, 0.012)
P (0.028, 0.481, 0.742)
P (0.956, 0.554, 0.239)
P (0.757, 0.041, 0.456)
P (0.246, 0.972, 0.531)
P (0.539, 0.254, 0.953)
Ni (0.149, 0.163, 0.140)



The following is a DFT calculation (meta-GGA SCAN) of a crystal of K2FeW relaxed with PBEsol.

Computed properties:
**Space-group type**: No. 65
**Volume**: 82 Å³/f.u.
**Raw total energy**: -24.49 eV/atom
**Crystal system**: orthorhombic
**ΔH_f (0 K)**: 1.6302 eV per atom
**E above lowest polymorph**: 591 meV/atom

Cell lengths 2.660, 5.271, 6.431 Å; angles 114.19, 90.00, 90.00 degrees
Sites, in units of the cell vectors:
W (0.500, 0.000, 0.000)
Fe (0.500, 0.500, 0.000)
K (0.000, 0.500, 0.500)
K (0.000, 0.000, 0.500)



The following is a DFT calculation (meta-GGA SCAN) of a crystal of Ba3PdRu relaxed with PBEsol.

Computed properties:
**Space-group type**: No. 221
**Volume**: 179 Å³/f.u.
**Raw total energy**: -36.98 eV/atom
**Crystal system**: cubic
**ΔH_f (0 K)**: 0.2732 eV per atom

Cell lengths 5.631, 5.631, 5.631 Å; angles 90.00, 90.00, 90.00 degrees
Sites, in units of the cell vectors:
Ba (0.000, 0.000, 0.500)
Ba (0.000, 0.500, 0.000)
Ba (0.500, 0.000, 0.000)
Pd (0.500, 0.500, 0.500)
Ru (0.000, 0.000, 0.000)